[1]
{"formula": "TlCd6Hg", "functional": "GGA-PBE", "state": "optimized geometry", "lattice": [[4.6203, 0.0000, 0.0000], [0.0000, 4.5539, 4.5805], [0.0000, -4.5539, 4.5805]], "species": ["Tl", "Cd", "Cd", "Cd", "Cd", "Cd", "Cd", "Hg"], "fractional_positions": [[0.0000, 0.0000, 0.0000], [0.0000, 0.0008, 0.4986], [0.0000, 0.4966, 0.4966], [0.0000, 0.4986, 0.0008], [0.5000, 0.2558, 0.2558], [0.5000, 0.2559, 0.7416], [0.5000, 0.7416, 0.2559], [0.5000, 0.7404, 0.7404]], "crystal_system": "orthorhombic", "final_energy_ev_per_atom": -0.9815}

[2]
{"formula": "Tl2Cd2Hg5", "functional": "GGA-PBE", "state": "optimized geometry", "lattice": [[8.4222, -4.1192, 0.0000], [8.4222, 4.1192, 0.0000], [0.0000, 0.0000, 7.2845]], "species": ["Tl", "Tl", "Tl", "Tl", "Cd", "Cd", "Cd", "Cd", "Hg", "Hg", "Hg", "Hg", "Hg", "Hg", "Hg", "Hg", "Hg", "Hg"], "fractional_positions": [[0.2229, 0.2229, 0.0000], [0.2771, 0.2771, 0.5000], [0.7229, 0.7229, 0.5000], [0.7771, 0.7771, 0.0000], [0.1379, 0.8621, 0.6239], [0.3621, 0.6379, 0.1239], [0.6379, 0.3621, 0.8761], [0.8621, 0.1379, 0.3761], [0.0000, 0.0000, 0.0000], [0.0602, 0.6763, 0.3282], [0.1763, 0.5602, 0.8282], [0.3237, 0.9398, 0.3282], [0.4398, 0.8237, 0.8282], [0.5000, 0.5000, 0.5000], [0.5602, 0.1763, 0.1718], [0.6763, 0.0602, 0.6718], [0.8237, 0.4398, 0.1718], [0.9398, 0.3237, 0.6718]], "crystal_system": "orthorhombic", "final_energy_ev_per_atom": -0.8677}

Number 1: DOS(E_F) 0.354 states/eV per atom. Number 2: DOS(E_F) 0.402 states/eV per atom.